(1)
Compound: Sr3CoCu
Source: the Alexandria database
Functional: PBE
Structure: relaxed

Calculated values
- magnetic moment (μB per formula unit) = 0.0
- E (eV/atom) = -2.82
- calculated formation energy (eV per atom) = 0.425

Lattice parameters (Å, degrees): 5.588 5.588 5.588 90.00 90.00 90.00
Space group Pm-3m (No. 221)
Asymmetric unit:
Sr 0.000 0.000 0.500 x3
Co 0.000 0.000 0.000 x1
Cu 0.500 0.500 0.500 x1

---

(2)
Compound: SrCoCu2
Source: the Alexandria database
Functional: PBE
Structure: relaxed

Calculated values
- magnetic moment (μB per formula unit) = 1.5
- E (eV/atom) = -3.85
- calculated formation energy (eV per atom) = 0.397

Lattice parameters (Å, degrees): 3.209 3.922 6.066 90.00 90.22 90.00
Space group Pm (No. 6)
Asymmetric unit:
Sr 0.000 0.000 0.000 x1
Co 0.004 0.500 0.591 x1
Cu 0.502 0.000 0.545 x1
Cu 0.502 0.500 0.294 x1

---

(3)
Compound: SrCoCu2
Source: the Alexandria database
Functional: PBE
Structure: relaxed

Calculated values
- magnetic moment (μB per formula unit) = 1.7
- E (eV/atom) = -3.88
- calculated formation energy (eV per atom) = 0.367

Lattice parameters (Å, degrees): 3.100 3.411 6.651 90.00 90.00 90.00
Space group Pmmm (No. 47)
Asymmetric unit:
Sr 0.000 0.000 0.000 x1
Co 0.000 0.000 0.500 x1
Cu 0.500 0.500 0.322 x2

---

(4)
Compound: SrCoCu2
Source: the Alexandria database
Functional: PBE
Structure: relaxed

Calculated values
- magnetic moment (μB per formula unit) = 1.6
- E (eV/atom) = -3.66
- calculated formation energy (eV per atom) = 0.589

Lattice parameters (Å, degrees): 6.596 6.596 6.596 90.00 90.00 90.00
Space group F-43m (No. 216)
Asymmetric unit:
Sr 0.000 0.000 0.000 x4
Co 0.250 0.250 0.750 x4
Cu 0.000 0.000 0.500 x4
Cu 0.250 0.250 0.250 x4

---

(5)
Compound: Sr2CoCu
Source: the Alexandria database
Functional: PBE
Structure: relaxed

Calculated values
- magnetic moment (μB per formula unit) = 0.7
- E (eV/atom) = -3.47
- E above lowest polymorph (eV/atom) = 0.000
- calculated formation energy (eV per atom) = 0.175

Lattice parameters (Å, degrees): 4.286 4.485 11.327 90.00 90.00 90.00
Space group Amm2 (No. 38)
Asymmetric unit:
Sr 0.000 0.000 0.000 x2
Sr 0.500 0.000 0.282 x2
Co 0.000 0.000 0.685 x2
Cu 0.500 0.000 0.591 x2

---

(6)
Compound: SrCoCu
Source: the Alexandria database
Functional: PBE
Structure: relaxed

Calculated values
- magnetic moment (μB per formula unit) = 1.4
- E (eV/atom) = -3.88
- E above lowest polymorph (eV/atom) = 0.137
- calculated formation energy (eV per atom) = 0.417

Lattice parameters (Å, degrees): 3.394 3.394 10.420 90.00 90.00 90.00
Space group I4mm (No. 107)
Asymmetric unit:
Sr 0.000 0.000 0.000 x2
Co 0.000 0.000 0.283 x2
Cu 0.000 0.000 0.718 x2

---

(7)
Compound: Sr4CoCu
Source: the Alexandria database
Functional: PBE
Structure: relaxed

Calculated values
- magnetic moment (μB per formula unit) = 0.8
- E (eV/atom) = -1.87
- calculated formation energy (eV per atom) = 1.120

Lattice parameters (Å, degrees): 9.957 9.957 9.957 90.00 90.00 90.00
Space group F-43m (No. 216)
Asymmetric unit:
Sr 0.125 0.125 0.125 x16
Co 0.250 0.250 0.750 x4
Cu 0.000 0.000 0.500 x4

---

(8)
Compound: SrCoCu4
Source: the Alexandria database
Functional: PBE
Structure: relaxed

Calculated values
- magnetic moment (μB per formula unit) = 1.3
- E (eV/atom) = -3.95
- calculated formation energy (eV per atom) = 0.241

Lattice parameters (Å, degrees): 7.197 7.197 7.197 90.00 90.00 90.00
Space group F-43m (No. 216)
Asymmetric unit:
Sr 0.000 0.000 0.000 x4
Co 0.250 0.250 0.750 x4
Cu 0.123 0.123 0.377 x16

---

(9)
Compound: SrCoCu
Source: the Alexandria database
Functional: PBE
Structure: relaxed

Calculated values
- magnetic moment (μB per formula unit) = 1.0
- E (eV/atom) = -4.02
- E above lowest polymorph (eV/atom) = 0.000
- calculated formation energy (eV per atom) = 0.279

Lattice parameters (Å, degrees): 4.1078 4.1078 4.4234 90.00 90.00 120.00
Space group P-6m2 (No. 187)
Asymmetric unit:
Sr 0.0000 0.0000 0.0000 x1
Co 0.6667 0.3333 0.5000 x1
Cu 0.3333 0.6667 0.5000 x1

---

(10)
Compound: Sr2CoCu
Source: the Alexandria database
Functional: PBE
Structure: relaxed

Calculated values
- magnetic moment (μB per formula unit) = 0.0
- E (eV/atom) = -3.01
- E above lowest polymorph (eV/atom) = 0.454
- calculated formation energy (eV per atom) = 0.629

Lattice parameters (Å, degrees): 7.951 7.951 6.565 90.00 90.00 90.00
Space group I-42d (No. 122)
Asymmetric unit:
Sr 0.230 0.250 0.125 x8
Co 0.000 0.000 0.000 x4
Cu 0.000 0.000 0.500 x4

---

(11)
Compound: Sr2CoCu
Source: the Alexandria database
Functional: PBE
Structure: relaxed

Calculated values
- magnetic moment (μB per formula unit) = 0.6
- E (eV/atom) = -3.28
- E above lowest polymorph (eV/atom) = 0.183
- calculated formation energy (eV per atom) = 0.358

Lattice parameters (Å, degrees): 7.435 7.435 7.435 90.00 90.00 90.00
Space group Fm-3m (No. 225)
Asymmetric unit:
Sr 0.250 0.250 0.250 x8
Co 0.000 0.000 0.000 x4
Cu 0.000 0.000 0.500 x4

---

(12)
Compound: SrCo2Cu2
Source: the Alexandria database
Functional: PBE
Structure: relaxed

Calculated values
- magnetic moment (μB per formula unit) = 2.8
- E (eV/atom) = -4.44
- E above lowest polymorph (eV/atom) = 0.074
- calculated formation energy (eV per atom) = 0.376

Lattice parameters (Å, degrees): 7.466 7.466 2.763 90.00 90.00 90.00
Space group P4/mbm (No. 127)
Asymmetric unit:
Sr 0.000 0.000 0.000 x2
Co 0.109 0.391 0.000 x4
Cu 0.177 0.677 0.500 x4

---

- What is the formula in the seventh record?
  Sr4CoCu